# YCdOs2

A relaxed structure of YCdOs2 (PBE, the Alexandria database).

Cell: 7.736 7.736 6.102 Å, 50.66 50.66 90.00°
Atoms (fractional coordinates):
1 Y 0.500 0.500 0.000
2 Y 0.250 0.750 0.500
3 Os 0.641 0.125 0.250
4 Os 0.109 0.625 0.250
5 Os 0.375 0.359 0.750
6 Os 0.875 0.891 0.750
7 Cd 0.000 0.000 0.000
8 Cd 0.750 0.250 0.500

Results
Density of states at the Fermi level ... 5.79 states/eV/f.u.
DFT formation energy ... 3.8 eV/f.u.
Size of the total moment ... 0.00 μB/atom
Total DFT energy (no corrections) ... -6.522 eV per atom

---

# YCdOs2

A relaxed structure of YCdOs2 (PBE, the Alexandria database).

Cell: 3.502 3.502 6.180 Å, 90.00 90.00 90.00°
Site moments in Bohr magnetons follow the coordinates.
Atoms (fractional coordinates):
1 Cd 0.500 0.500 0.750  -0.01
2 Os 0.000 0.000 0.966  0.46
3 Os 0.000 0.000 0.534  0.46
4 Y 0.500 0.500 0.250  -0.01

Results
Density of states at the Fermi level ... 4.38 states/eV/f.u.
DFT formation energy ... 2.1 eV/f.u.
Size of the total moment ... 0.24 μB/atom
Total DFT energy (no corrections) ... -6.932 eV per atom

---

# Y2CdOs

A relaxed structure of Y2CdOs (PBE, the Alexandria database).

Cell: 9.110 9.110 9.110 Å, 23.00 23.00 23.00°
Atoms (fractional coordinates):
1 Cd 0.250 0.250 0.250
2 Os 0.750 0.750 0.750
3 Y 0.012 0.012 0.012
4 Y 0.488 0.488 0.488

Results
Density of states at the Fermi level ... 3.08 states/eV/f.u.
DFT formation energy ... 0.1 eV/f.u.
Size of the total moment ... 0.00 μB/atom
Total DFT energy (no corrections) ... -6.235 eV per atom